An optimized crystal structure of TiCu4Rh. Source: Alexandria via LeMat-Bulk, functional GGA-PBE.

Cell: 4.786 4.786 4.786 Å, 60.00 60.00 60.00°
Element x y z (fractional)
Cu 0.125 0.625 0.625
Cu 0.625 0.125 0.625
Cu 0.625 0.625 0.625
Cu 0.625 0.625 0.125
Ti 0.250 0.250 0.250
Rh 0.000 0.000 0.000

Size of the total moment (μB/atom): 0.00
SG: F-43m, No. 216
Raw total energy (eV/cell): -32.66
Volume (Å³ per atom): 12.92
Mass density (g/cm³): 8.7
Energy of formation from the pure elements (eV/atom): -0.17